1.
VASP calculation (meta-GGA SCAN) on a PBEsol-optimized structure of MgZr2Ag.

It has space group Cm (No. 8), with a = 10.650 Å, b = 3.095 Å, c = 5.341 Å, α = 90.00°, β = 113.47° and γ = 90.00°. Symmetry generates all atoms from Mg at (0.000, 0.000, 0.000), Zr at (0.227, 0.000, 0.630), Zr at (0.469, 0.000, 0.476) and Ag at (0.231, 0.500, 0.110).

The value obtained for the excess energy over the best structure of this formula in the dataset is 0.098 eV per atom. The formation enthalpy at 0 K comes out at -0.0288 eV per atom.



2.
VASP calculation (meta-GGA SCAN) on a PBEsol-optimized structure of Mg2ZrAg.

It has space group P4mm (No. 99), with a = 3.091 Å, b = 3.091 Å, c = 8.439 Å, α = 90.00°, β = 90.00° and γ = 90.00°. Symmetry generates all atoms from Mg at (0.000, 0.000, 0.000), Mg at (0.500, 0.500, 0.276), Zr at (0.000, 0.000, 0.548) and Ag at (0.500, 0.500, 0.789).

The formation enthalpy at 0 K comes out at -0.0743 eV per atom.



3.
VASP calculation (meta-GGA SCAN) on a PBEsol-optimized structure of Mg2ZrAg.

It has space group Pmmm (No. 47), with a = 3.554 Å, b = 4.734 Å, c = 4.742 Å, α = 90.00°, β = 90.00° and γ = 90.00°. Symmetry generates all atoms from Mg at (0.000, 0.000, 0.000), Mg at (0.500, 0.000, 0.500), Zr at (0.000, 0.500, 0.500) and Ag at (0.500, 0.500, 0.000).

The formation enthalpy at 0 K comes out at -0.0186 eV per atom.



4.
VASP calculation (meta-GGA SCAN) on a PBEsol-optimized structure of MgZr2Ag.

It has space group P4mm (No. 99), with a = 3.115 Å, b = 3.115 Å, c = 8.439 Å, α = 90.00°, β = 90.00° and γ = 90.00°. Symmetry generates all atoms from Mg at (0.000, 0.000, 0.000), Zr at (0.000, 0.000, 0.545), Zr at (0.500, 0.500, 0.284) and Ag at (0.500, 0.500, 0.789).

The value obtained for the excess energy over the best structure of this formula in the dataset is 0.000 eV per atom. The formation enthalpy at 0 K comes out at -0.1266 eV per atom.



5.
VASP calculation (meta-GGA SCAN) on a PBEsol-optimized structure of MnAg5.

It has space group P6/mmm (No. 191), with a = 5.2662 Å, b = 5.2662 Å, c = 4.6455 Å, α = 90.00°, β = 90.00° and γ = 120.00°. Symmetry generates all atoms from Mn at (0.0000, 0.0000, 0.0000), Ag at (0.0000, 0.5000, 0.5000) and Ag at (0.3333, 0.6667, 0.0000).

The formation enthalpy at 0 K comes out at 0.2254 eV per atom.



6.
VASP calculation (meta-GGA SCAN) on a PBEsol-optimized structure of Mn2Ag.

It has space group P-3m1 (No. 164), with a = 2.5916 Å, b = 2.5916 Å, c = 6.4637 Å, α = 90.00°, β = 90.00° and γ = 120.00°. Symmetry generates all atoms from Mn at (0.3333, 0.6667, 0.1346) and Ag at (0.0000, 0.0000, 0.5000).

The formation enthalpy at 0 K comes out at 0.5570 eV per atom.



7.
VASP calculation (meta-GGA SCAN) on a PBEsol-optimized structure of MnAgMo2.

It has space group Pm (No. 6), with a = 2.622 Å, b = 4.391 Å, c = 5.144 Å, α = 90.00°, β = 96.75° and γ = 90.00°. Symmetry generates all atoms from Mn at (0.000, 0.000, 0.000), Ag at (0.073, 0.500, 0.724), Mo at (0.461, 0.000, 0.471) and Mo at (0.670, 0.500, 0.209).

The value obtained for the excess energy over the best structure of this formula in the dataset is 0.000 eV per atom. The formation enthalpy at 0 K comes out at 0.3174 eV per atom.



8.
VASP calculation (meta-GGA SCAN) on a PBEsol-optimized structure of MnAgMo2.

It has space group P4/mmm (No. 123), with a = 3.752 Å, b = 3.752 Å, c = 4.147 Å, α = 90.00°, β = 90.00° and γ = 90.00°. Symmetry generates all atoms from Mn at (0.000, 0.000, 0.000), Ag at (0.500, 0.500, 0.000) and Mo at (0.000, 0.500, 0.500).

The value obtained for the excess energy over the best structure of this formula in the dataset is 0.017 eV per atom. The formation enthalpy at 0 K comes out at 0.3346 eV per atom.



Which formula does entry 6 have?
Mn2Ag



The lowest formation enthalpy at 0 K belongs to which entry?
number 4



Which of these has the highest formation enthalpy at 0 K?
Mn2Ag